Below is Li5Cd8Au after structural relaxation, with properties calculated at the GGA-PBE level.

```
14
Lattice="-4.6285 -5.4150 0.9351 6.6800 -2.6233 -0.3398 -0.4663 4.5918 5.5062" Properties=species:S:1:pos:R:3 pbc="T T T"
Cd -0.7088 -0.3420 5.4454
Cd -4.1810 -2.2520 4.4533
Li -2.5474 -0.4116 3.2206
Cd 4.2233 -0.1675 2.5575
Cd 4.1489 -2.3062 0.2269
Cd 0.0954 -0.7107 2.5128
Au 1.8332 0.7784 4.1935
Li 1.8394 -6.2624 1.7128
Cd 3.1071 -1.6242 5.0100
Li -1.2738 2.6511 5.6778
Cd -1.9043 -3.1605 2.6164
Cd 1.5602 -3.2231 1.5838
Li 0.5976 -2.8399 4.3396
Li 2.0072 -0.4419 0.4729
```

The formation energy is -0.135 eV per atom. The size of the total moment is 0.000 μB/f.u.

***

Below is Li14CdAu after structural relaxation, with properties calculated at the GGA-PBE level.

```
16
Lattice="6.2715 -0.0130 0.0000 0.0136 6.2715 0.0000 0.0000 0.0000 7.4820" Properties=species:S:1:pos:R:3 pbc="T T T"
Li 3.8666 0.8309 5.4762
Li 0.8473 3.8630 5.4762
Li 5.4927 2.3404 0.0000
Li 2.3638 5.4827 3.7410
Li 3.8666 0.8309 2.0058
Cd 5.4995 5.4762 3.7410
Li 0.8473 3.8630 2.0058
Li 3.8729 3.8564 5.4761
Li 5.4927 2.3404 3.7410
Li 2.3637 5.4827 0.0000
Li 0.8410 0.8374 2.0060
Li 0.8410 0.8374 5.4760
Li 5.4995 5.4762 0.0000
Li 2.3569 2.3469 0.0000
Au 2.3570 2.3470 3.7410
Li 3.8729 3.8564 2.0060
```

The formation energy is -0.135 eV per atom. The size of the total moment is 0.000 μB/f.u.

***

Below is Li5CdAu4 after structural relaxation, with properties calculated at the GGA-PBE level.

```
10
Lattice="2.9458 0.0000 0.0000 0.0000 2.9458 0.0000 0.0000 0.0000 18.6608" Properties=species:S:1:pos:R:3 pbc="T T T"
Au 0.0000 0.0000 7.5305
Au 0.0000 0.0000 11.1302
Li 1.4729 1.4729 9.3304
Li 1.4729 1.4729 12.9184
Li 1.4729 1.4729 16.4671
Au 0.0000 0.0000 3.9355
Au 0.0000 0.0000 14.7253
Li 1.4729 1.4729 2.1937
Li 1.4729 1.4729 5.7423
Cd 0.0000 0.0000 0.0000
```

The formation energy is -0.477 eV per atom. The energy relative to the lowest polymorph listed for this composition comes out at 12 meV per atom. The size of the total moment is 0.000 μB/f.u.

***

Below is LiCdAu2 after structural relaxation, with properties calculated at the GGA-PBE level.

```
4
Lattice="9.4691 -0.0411 -0.0241 9.0128 2.9046 -0.0241 9.0128 1.3964 2.5470" Properties=species:S:1:pos:R:3 pbc="T T T"
Cd 6.8737 1.0649 0.6247
Li 20.6210 3.1948 1.8741
Au 0.2184 0.0338 0.0198
Au 13.5289 2.0960 1.2295
```

The formation energy is -0.265 eV per atom. The size of the total moment is 0.000 μB/f.u.

***

Below is Li2Cd3Au8 after structural relaxation, with properties calculated at the GGA-PBE level.

```
13
Lattice="-1.0477 -5.3107 -0.6380 3.7424 -3.7044 1.4072 -2.9958 -3.3667 9.6609" Properties=species:S:1:pos:R:3 pbc="T T T"
Au 1.5787 -4.9688 3.8334
Au -1.8797 -7.4130 6.5967
Cd 0.5309 -9.2161 5.9949
Au -0.8143 -5.7712 2.8117
Cd 0.0000 0.0000 0.0000
Au -0.5897 -9.3202 8.7015
Li -1.7457 -6.3391 9.0674
Au 0.5132 -6.6106 7.6184
Au 1.0553 -7.6218 3.5146
Au 0.2887 -3.0617 1.7286
Li 1.4446 -6.0428 1.3626
Au -1.3564 -4.7600 6.9154
Cd -0.8320 -3.1657 4.4351
```

The formation energy is -0.148 eV per atom. The size of the total moment is 0.000 μB/f.u.

***

Below is LiCd3Au after structural relaxation, with properties calculated at the GGA-PBE level.

```
10
Lattice="-0.8050 -1.3625 4.1925 3.9795 -2.0775 0.0889 3.7070 7.3359 5.4907" Properties=species:S:1:pos:R:3 pbc="T T T"
Cd 3.1796 -1.1103 1.8024
Cd 3.9849 5.4854 6.4954
Li 2.0019 1.5127 2.4287
Au 2.7663 3.2120 7.9177
Cd 5.5475 3.7172 8.6158
Cd 2.3904 2.3746 5.1784
Cd 4.7741 2.0005 3.1196
Li 5.1626 2.8624 5.8692
Cd 0.8120 -0.7047 3.8746
Au 3.5932 -0.1994 4.5728
```

The formation energy is -0.259 eV per atom. The energy relative to the lowest polymorph listed for this composition comes out at 0 meV per atom. The size of the total moment is 0.000 μB/f.u.